Compound: RbNaTl2Br4
Source: Alexandria
Functional: PBE
Structure: relaxed

Geometry as extended XYZ:
```
8
Lattice="8.154 0.000 0.000 0.000 4.703 0.000 -2.698 0.000 7.723" Properties=species:S:1:pos:R:3 pbc="T T T"
Rb 0.000 0.000 0.000
Na 4.077 2.351 0.000
Tl -1.349 2.351 3.861
Tl 2.728 0.000 3.861
Br 1.534 2.351 1.856
Br 0.133 0.000 5.914
Br 5.323 0.000 1.809
Br 3.922 2.351 5.867
```

Summary:
Energy relative to the elements, uncorrected = -1.23 eV/atom